Entry 1:
Material: NbAs2BrCl
Method: DFT, PBEsol
State: optimized geometry

Unit cell a=4.9884 b=4.9884 c=4.9810 alpha=90.00 beta=90.00 gamma=90.00
Sites, in units of the cell vectors:
Nb 0.0000 0.0000 0.0000
As 0.0000 0.5000 0.0000
As 0.5000 0.0000 0.0000
Br 0.0000 0.0000 0.5000
Cl 0.5000 0.5000 0.5000

Properties
- density of states at the Fermi level (states/eV per cell) = 4.4
- size of the total moment (μB/cell) = 0.00
- space-group type = No. 123

---

Entry 2:
Material: As2OsBrCl
Method: DFT, PBEsol
State: optimized geometry

Unit cell a=4.7902 b=4.7413 c=4.7413 alpha=90.00 beta=90.00 gamma=90.00
Each line ends with the local moment (μB).
Sites, in units of the cell vectors:
As 0.0000 0.0000 0.5000  -0.10
As 0.0000 0.5000 0.0000  -0.10
Os 0.5000 0.5000 0.5000  1.89
Br 0.5000 0.0000 0.0000  0.09
Cl 0.0000 0.0000 0.0000  -0.02

Properties
- density of states at the Fermi level (states/eV per cell) = 5.4
- size of the total moment (μB/cell) = 1.82
- space-group type = No. 123

---

Entry 3:
Material: RbAsBr2Cl
Method: DFT, PBEsol
State: optimized geometry

Unit cell a=4.5182 b=6.3176 c=6.3176 alpha=90.00 beta=90.00 gamma=90.00
Each line ends with the local moment (μB).
Sites, in units of the cell vectors:
As 0.5000 0.0000 0.0000  0.02
Br 0.0000 0.0000 0.5000  0.07
Br 0.0000 0.5000 0.0000  0.07
Rb 0.5000 0.5000 0.5000  0.00
Cl 0.0000 0.0000 0.0000  0.04

Properties
- density of states at the Fermi level (states/eV per cell) = 6.2
- size of the total moment (μB/cell) = 0.26
- space-group type = No. 123

---

Entry 4:
Material: TlAs2BrCl
Method: DFT, PBEsol
State: optimized geometry

Unit cell a=4.7204 b=4.7204 c=6.7149 alpha=90.00 beta=90.00 gamma=90.00
Sites, in units of the cell vectors:
Tl 0.5000 0.5000 0.5000
As 0.0000 0.5000 0.0000
As 0.5000 0.0000 0.0000
Br 0.0000 0.0000 0.5000
Cl 0.0000 0.0000 0.0000

Properties
- density of states at the Fermi level (states/eV per cell) = 4.3
- size of the total moment (μB/cell) = 0.00
- space-group type = No. 123

---

| no. | E (eV per atom) | uncorrected formation energy (eV per atom) |
| --- | --- | --- |
| 1 | -4.8850 | 0.10 |
| 2 | -3.3289 | 1.93 |
| 3 | -2.5569 | -0.18 |
| 4 | -2.8342 | 0.51 |